Here is an optimized crystal structure of NiSeF3 from Alexandria. Energies are from GGA+U.

Cell lengths 4.104, 4.104, 4.104 Å; angles 90.00, 90.00, 90.00 degrees
Atoms (fractional coordinates):
Se 0.500 0.500 0.500
F 0.000 0.000 0.500
F 0.500 0.000 0.000
F 0.000 0.500 0.000
Ni 0.000 0.000 0.000

* SG: Pm-3m
* magnetization: 1.000 μB per atom
* raw total energy: -17.45 eV/cell
* crystal system: cubic